Record 1
Cs2SnSb after structural relaxation, computed with PBE-GGA.

Output
**Electronic total energy**: -2.529 eV/atom
**N(E_F)**: 8.5 states/eV per cell
**Formation energy (no corrections)**: -0.07 eV/atom
**Total moment**: 0.00 μB/f.u.

The structure in POSCAR format:
```
Cs2SnSb
1.0
-0.634 -0.368 10.268
-1.129 5.708 -8.491
-8.526 -5.549 -1.573
Sn Cs Sb
2 4 2
direct
0.750 0.250 0.500 Sn
0.500 0.500 0.000 Sn
0.625 0.791 0.666 Cs
0.041 0.375 0.166 Cs
0.125 0.959 0.334 Cs
0.209 0.875 0.834 Cs
0.000 0.000 0.000 Sb
0.250 0.750 0.500 Sb
```

---

Record 2
CsSn2Sb after structural relaxation, computed with PBE-GGA.

Output
**Electronic total energy**: -3.271 eV/atom
**N(E_F)**: 0.3 states/eV per cell
**Formation energy (no corrections)**: -0.03 eV/atom
**Total moment**: 0.00 μB/f.u.

The structure in POSCAR format:
```
CsSn2Sb
1.0
5.748 0.000 0.000
0.000 5.748 0.000
2.874 2.874 10.650
Sb Sn Cs
2 4 2
direct
0.250 0.750 0.500 Sb
0.500 0.500 0.000 Sb
0.375 0.547 0.750 Sn
0.453 0.125 0.250 Sn
0.875 0.703 0.750 Sn
0.297 0.625 0.250 Sn
0.000 0.000 0.000 Cs
0.750 0.250 0.500 Cs
```

---

Record 3
Cs2SnSb after structural relaxation, computed with PBE-GGA.

Output
**Electronic total energy**: -2.613 eV/atom
**N(E_F)**: 2.9 states/eV per cell
**Formation energy (no corrections)**: -0.15 eV/atom
**Total moment**: 0.00 μB/f.u.

The structure in POSCAR format:
```
Cs2SnSb
1.0
-2.858 6.238 1.792
0.666 -0.827 -7.011
-8.338 -3.718 -0.353
Sb Cs Sn
2 4 2
direct
0.276 0.276 0.750 Sb
0.724 0.724 0.250 Sb
0.985 0.335 0.250 Cs
0.665 0.015 0.750 Cs
0.015 0.665 0.750 Cs
0.335 0.985 0.250 Cs
0.500 0.500 0.500 Sn
0.500 0.500 0.000 Sn
```